No. 1
# NiIr3 | Alexandria via LeMat-Bulk | PBEsol | relaxed
data_NiIr3
_chemical_formula_sum 'Ni1 Ir3'
_space_group_name_H-M_alt 'P 1'
_space_group_IT_number 1
_space_group_name_Hall 'P 1'
_cell_length_a 2.696
_cell_length_b 2.696
_cell_length_c 8.473
_cell_angle_alpha 90.00
_cell_angle_beta 90.00
_cell_angle_gamma 120.00
loop_
_atom_site_label
_atom_site_type_symbol
_atom_site_fract_x
_atom_site_fract_y
_atom_site_fract_z
Ni1 Ni 0.000 0.000 0.500
Ir1 Ir 0.333 0.667 0.260
Ir2 Ir 0.333 0.667 0.740
Ir3 Ir 0.000 0.000 0.000
# - SG: P-6m2 (187)
# - M_tot: 0.00 μB/cell
# - ΔE_f: 7.3 kJ/mol of atoms
# - Energy: -35.3 eV per cell

No. 2
# NiIr2 | Alexandria via LeMat-Bulk | PBEsol | relaxed
data_NiIr2
_chemical_formula_sum 'Ni2 Ir4'
_space_group_name_H-M_alt 'P 1'
_space_group_IT_number 1
_space_group_name_Hall 'P 1'
_cell_length_a 2.692
_cell_length_b 5.017
_cell_length_c 6.251
_cell_angle_alpha 105.29
_cell_angle_beta 90.00
_cell_angle_gamma 105.56
loop_
_atom_site_label
_atom_site_type_symbol
_atom_site_fract_x
_atom_site_fract_y
_atom_site_fract_z
Ni1 Ni 0.307 0.614 0.363
Ni2 Ni 0.693 0.386 0.637
Ir1 Ir 0.972 0.944 0.689
Ir2 Ir 0.360 0.719 0.967
Ir3 Ir 0.640 0.281 0.033
Ir4 Ir 0.028 0.056 0.311
# - SG: C2/m (12)
# - M_tot: 0.00 μB/cell
# - ΔE_f: 5.3 kJ/mol of atoms
# - Energy: -51.3 eV per cell

No. 3
# NiIr3 | Alexandria via LeMat-Bulk | PBEsol | relaxed
data_NiIr3
_chemical_formula_sum 'Ni1 Ir3'
_space_group_name_H-M_alt 'P 1'
_space_group_IT_number 1
_space_group_name_Hall 'P 1'
_cell_length_a 2.693
_cell_length_b 2.693
_cell_length_c 7.278
_cell_angle_alpha 90.00
_cell_angle_beta 90.00
_cell_angle_gamma 90.00
loop_
_atom_site_label
_atom_site_type_symbol
_atom_site_fract_x
_atom_site_fract_y
_atom_site_fract_z
Ni1 Ni 0.500 0.500 0.500
Ir1 Ir 0.000 0.000 0.739
Ir2 Ir 0.000 0.000 0.261
Ir3 Ir 0.500 0.500 0.000
# - SG: P4/mmm (123)
# - M_tot: 0.00 μB/cell
# - ΔE_f: 2.1 kJ/mol of atoms
# - Energy: -35.5 eV per cell

No. 4
# NiIr2 | Alexandria via LeMat-Bulk | PBEsol | relaxed
data_NiIr2
_chemical_formula_sum 'Ni2 Ir4'
_space_group_name_H-M_alt 'P 1'
_space_group_IT_number 1
_space_group_name_Hall 'P 1'
_cell_length_a 2.688
_cell_length_b 5.004
_cell_length_c 6.232
_cell_angle_alpha 103.28
_cell_angle_beta 90.00
_cell_angle_gamma 105.58
loop_
_atom_site_label
_atom_site_type_symbol
_atom_site_fract_x
_atom_site_fract_y
_atom_site_fract_z
Ni1 Ni 0.056 0.112 0.613
Ni2 Ni 0.723 0.445 0.943
Ir1 Ir 0.000 0.001 0.994
Ir2 Ir 0.387 0.775 0.275
Ir3 Ir 0.666 0.332 0.338
Ir4 Ir 0.335 0.670 0.670
# - SG: Cm (8)
# - M_tot: 0.46 μB/cell
# - ΔE_f: 6.4 kJ/mol of atoms
# - Energy: -51.2 eV per cell

No. 5
# NiIr3 | Alexandria via LeMat-Bulk | PBEsol | relaxed
data_NiIr3
_chemical_formula_sum 'Ni1 Ir3'
_space_group_name_H-M_alt 'P 1'
_space_group_IT_number 1
_space_group_name_Hall 'P 1'
_cell_length_a 2.679
_cell_length_b 4.594
_cell_length_c 4.594
_cell_angle_alpha 109.32
_cell_angle_beta 90.00
_cell_angle_gamma 90.00
loop_
_atom_site_label
_atom_site_type_symbol
_atom_site_fract_x
_atom_site_fract_y
_atom_site_fract_z
Ni1 Ni 0.000 0.500 0.500
Ir1 Ir 0.000 0.000 0.000
Ir2 Ir 0.500 0.000 0.500
Ir3 Ir 0.500 0.500 0.000
# - SG: Cmmm (65)
# - M_tot: 0.01 μB/cell
# - ΔE_f: 6.3 kJ/mol of atoms
# - Energy: -35.4 eV per cell

No. 6
# NiIr3 | Alexandria via LeMat-Bulk | PBEsol | relaxed
data_NiIr3
_chemical_formula_sum 'Ni1 Ir3'
_space_group_name_H-M_alt 'P 1'
_space_group_IT_number 1
_space_group_name_Hall 'P 1'
_cell_length_a 2.685
_cell_length_b 2.685
_cell_length_c 8.658
_cell_angle_alpha 81.08
_cell_angle_beta 81.08
_cell_angle_gamma 60.00
loop_
_atom_site_label
_atom_site_type_symbol
_atom_site_fract_x
_atom_site_fract_y
_atom_site_fract_z
Ni1 Ni 0.500 0.500 0.500
Ir1 Ir 0.753 0.753 0.740
Ir2 Ir 0.000 0.000 0.000
Ir3 Ir 0.247 0.247 0.260
# - SG: R-3m (166)
# - M_tot: 0.27 μB/cell
# - ΔE_f: 2.7 kJ/mol of atoms
# - Energy: -35.5 eV per cell

No. 7
# NiIr3 | Alexandria via LeMat-Bulk | PBEsol | relaxed
data_NiIr3
_chemical_formula_sum 'Ni1 Ir3'
_space_group_name_H-M_alt 'P 1'
_space_group_IT_number 1
_space_group_name_Hall 'P 1'
_cell_length_a 2.693
_cell_length_b 4.294
_cell_length_c 4.612
_cell_angle_alpha 90.00
_cell_angle_beta 90.00
_cell_angle_gamma 90.00
loop_
_atom_site_label
_atom_site_type_symbol
_atom_site_fract_x
_atom_site_fract_y
_atom_site_fract_z
Ni1 Ni 0.000 0.500 0.332
Ir1 Ir 0.000 0.000 0.006
Ir2 Ir 0.500 0.000 0.496
Ir3 Ir 0.500 0.500 0.833
# - SG: Pmm2 (25)
# - M_tot: 0.29 μB/cell
# - ΔE_f: 7.6 kJ/mol of atoms
# - Energy: -35.3 eV per cell

No. 8
# NiIr2 | Alexandria via LeMat-Bulk | PBEsol | relaxed
data_NiIr2
_chemical_formula_sum 'Ni1 Ir2'
_space_group_name_H-M_alt 'P 1'
_space_group_IT_number 1
_space_group_name_Hall 'P 1'
_cell_length_a 2.671
_cell_length_b 2.671
_cell_length_c 6.320
_cell_angle_alpha 90.00
_cell_angle_beta 90.00
_cell_angle_gamma 120.00
loop_
_atom_site_label
_atom_site_type_symbol
_atom_site_fract_x
_atom_site_fract_y
_atom_site_fract_z
Ni1 Ni 0.000 0.000 0.000
Ir1 Ir 0.667 0.333 0.324
Ir2 Ir 0.333 0.667 0.676
# - SG: P-3m1 (164)
# - M_tot: 0.01 μB/cell
# - ΔE_f: 3.3 kJ/mol of atoms
# - Energy: -25.7 eV per cell

No. 9
# Ni2Ir | Alexandria via LeMat-Bulk | PBEsol | relaxed
data_Ni2Ir
_chemical_formula_sum 'Ni4 Ir2'
_space_group_name_H-M_alt 'P 1'
_space_group_IT_number 1
_space_group_name_Hall 'P 1'
_cell_length_a 3.565
_cell_length_b 3.629
_cell_length_c 5.685
_cell_angle_alpha 90.00
_cell_angle_beta 108.27
_cell_angle_gamma 90.00
loop_
_atom_site_label
_atom_site_type_symbol
_atom_site_fract_x
_atom_site_fract_y
_atom_site_fract_z
Ir1 Ir 0.915 0.750 0.829
Ir2 Ir 0.085 0.250 0.171
Ni1 Ni 0.585 0.750 0.169
Ni2 Ni 0.415 0.250 0.831
Ni3 Ni 0.251 0.750 0.502
Ni4 Ni 0.749 0.250 0.498
# - SG: Cmcm (63)
# - M_tot: 0.01 μB/cell
# - ΔE_f: 1.3 kJ/mol of atoms
# - Energy: -44.2 eV per cell
# - Energy relative to the lowest polymorph listed for this composition: 0 meV/atom

No. 10
# Ni2Ir | Alexandria via LeMat-Bulk | PBEsol | relaxed
data_Ni2Ir
_chemical_formula_sum 'Ni2 Ir1'
_space_group_name_H-M_alt 'P 1'
_space_group_IT_number 1
_space_group_name_Hall 'P 1'
_cell_length_a 2.602
_cell_length_b 2.602
_cell_length_c 6.083
_cell_angle_alpha 90.00
_cell_angle_beta 90.00
_cell_angle_gamma 120.00
loop_
_atom_site_label
_atom_site_type_symbol
_atom_site_fract_x
_atom_site_fract_y
_atom_site_fract_z
Ni1 Ni 0.667 0.333 0.341
Ni2 Ni 0.333 0.667 0.659
Ir1 Ir 0.000 0.000 0.000
# - SG: P-3m1 (164)
# - M_tot: 1.03 μB/cell
# - ΔE_f: 6.9 kJ/mol of atoms
# - Energy: -21.9 eV per cell
# - Energy relative to the lowest polymorph listed for this composition: 58 meV/atom

No. 11
# Ni2Ir | Alexandria via LeMat-Bulk | PBEsol | relaxed
data_Ni2Ir
_chemical_formula_sum 'Ni4 Ir2'
_space_group_name_H-M_alt 'P 1'
_space_group_IT_number 1
_space_group_name_Hall 'P 1'
_cell_length_a 2.609
_cell_length_b 4.843
_cell_length_c 6.036
_cell_angle_alpha 104.02
_cell_angle_beta 90.00
_cell_angle_gamma 105.62
loop_
_atom_site_label
_atom_site_type_symbol
_atom_site_fract_x
_atom_site_fract_y
_atom_site_fract_z
Ir1 Ir 0.999 0.998 0.996
Ir2 Ir 0.669 0.338 0.342
Ni1 Ni 0.388 0.776 0.280
Ni2 Ni 0.054 0.109 0.611
Ni3 Ni 0.334 0.669 0.668
Ni4 Ni 0.721 0.443 0.937
# - SG: Cm (8)
# - M_tot: 2.83 μB/cell
# - ΔE_f: 5.4 kJ/mol of atoms
# - Energy: -43.9 eV per cell
# - Energy relative to the lowest polymorph listed for this composition: 43 meV/atom

No. 12
# NiIr3 | Alexandria via LeMat-Bulk | PBEsol | relaxed
data_NiIr3
_chemical_formula_sum 'Ni1 Ir3'
_space_group_name_H-M_alt 'P 1'
_space_group_IT_number 1
_space_group_name_Hall 'P 1'
_cell_length_a 2.689
_cell_length_b 3.727
_cell_length_c 5.287
_cell_angle_alpha 90.00
_cell_angle_beta 90.00
_cell_angle_gamma 90.00
loop_
_atom_site_label
_atom_site_type_symbol
_atom_site_fract_x
_atom_site_fract_y
_atom_site_fract_z
Ni1 Ni 0.500 0.500 0.000
Ir1 Ir 0.000 0.000 0.757
Ir2 Ir 0.000 0.000 0.243
Ir3 Ir 0.500 0.500 0.500
# - SG: Pmmm (47)
# - M_tot: 0.00 μB/cell
# - ΔE_f: 1.1 kJ/mol of atoms
# - Energy: -35.6 eV per cell